Entry 1:
A plane-wave DFT calculation with PBE was carried out for a relaxed structure of HoPa2P4.

Magnetization ... 0.000 μB per atom
Formation energy ... -1049 meV per atom

Structure (CIF):
```
data_HoPa2P4
_chemical_formula_sum 'Ho4 Pa8 P16'
_cell_length_a 3.940
_cell_length_b 13.270
_cell_length_c 12.656
_cell_angle_alpha 90.00
_cell_angle_beta 90.00
_cell_angle_gamma 90.00
_space_group_name_H-M_alt 'C m c m'
_space_group_IT_number 63
_space_group_name_Hall '-C 2c 2'
loop_
_atom_site_label
_atom_site_fract_x
_atom_site_fract_y
_atom_site_fract_z
Ho1 0.000 0.116 0.250
Pa1 0.000 0.370 0.067
P1 0.000 0.000 0.000
P2 0.000 0.267 0.625
P3 0.000 0.469 0.250
```

---

Entry 2:
A plane-wave DFT calculation with PBE was carried out for a relaxed structure of ZrFeBiIr2.

Magnetization ... 0.025 μB per atom
Formation energy ... 1871 meV per atom

Structure (CIF):
```
data_ZrFeBiIr2
_chemical_formula_sum 'Zr1 Fe1 Bi1 Ir2'
_cell_length_a 4.855
_cell_length_b 4.855
_cell_length_c 5.509
_cell_angle_alpha 90.00
_cell_angle_beta 90.00
_cell_angle_gamma 90.00
_space_group_name_H-M_alt 'P 4/m m m'
_space_group_IT_number 123
_space_group_name_Hall '-P 4 2'
loop_
_atom_site_label
_atom_site_fract_x
_atom_site_fract_y
_atom_site_fract_z
Zr1 0.000 0.000 0.000
Fe1 0.500 0.500 0.500
Bi1 0.000 0.000 0.500
Ir1 0.000 0.500 0.000
```

---

Entry 3:
A plane-wave DFT calculation with PBE was carried out for a relaxed structure of Li3Nd2DyS6.

Magnetization ... 0.000 μB per atom
E_form (uncorrected) ... -1800 meV/atom

Structure (CIF):
```
data_Li3Nd2DyS6
_chemical_formula_sum 'Li6 Nd4 Dy2 S12'
_cell_length_a 6.948
_cell_length_b 12.056
_cell_length_c 6.613
_cell_angle_alpha 90.00
_cell_angle_beta 110.26
_cell_angle_gamma 90.00
_space_group_name_H-M_alt 'C 1 2/m 1'
_space_group_IT_number 12
loop_
_space_group_symop_operation_xyz
'x,y,z'
'-x,-y,-z'
'-x,y,-z'
'x,-y,z'
'x+1/2,y+1/2,z'
'-x+1/2,-y+1/2,-z'
'-x+1/2,y+1/2,-z'
'x+1/2,-y+1/2,z'
loop_
_atom_site_label
_atom_site_fract_x
_atom_site_fract_y
_atom_site_fract_z
Li1 0.000 0.000 0.000
Li2 0.000 0.341 0.000
Nd1 0.000 0.167 0.500
Dy1 0.000 0.500 0.500
S1 0.241 0.500 0.247
S2 0.246 0.338 0.755
```

---

Entry 4:
A plane-wave DFT calculation with PBE was carried out for a relaxed structure of La3Rh.

Magnetization ... 0.000 μB per atom
Formation energy ... -268 meV per atom

Structure (CIF):
```
data_La3Rh
_chemical_formula_sum 'La3 Rh1'
_cell_length_a 3.9600
_cell_length_b 3.9600
_cell_length_c 9.7830
_cell_angle_alpha 90.00
_cell_angle_beta 90.00
_cell_angle_gamma 120.00
_space_group_name_H-M_alt 'P -6 m 2'
_space_group_IT_number 187
_space_group_name_Hall 'P -6 2'
loop_
_atom_site_label
_atom_site_fract_x
_atom_site_fract_y
_atom_site_fract_z
La1 0.0000 0.0000 0.0000
La2 0.6667 0.3333 0.3163
Rh1 0.0000 0.0000 0.5000
```

---

Entry 5:
A plane-wave DFT calculation with PBE was carried out for a relaxed structure of Re2NiBr.

Energy above the most stable polymorph in this dataset ... 2.18 eV per formula unit
Magnetization ... 0.000 μB per atom
E_form (uncorrected) ... 1019 meV/atom

Structure (CIF):
```
data_Re2NiBr
_chemical_formula_sum 'Re4 Ni2 Br2'
_cell_length_a 2.912
_cell_length_b 4.534
_cell_length_c 8.995
_cell_angle_alpha 90.00
_cell_angle_beta 90.00
_cell_angle_gamma 90.00
_space_group_name_H-M_alt 'I m m 2'
_space_group_IT_number 44
loop_
_space_group_symop_operation_xyz
'x,y,z'
'-x,-y,z'
'-x,y,z'
'x,-y,z'
'x+1/2,y+1/2,z+1/2'
'-x+1/2,-y+1/2,z+1/2'
'-x+1/2,y+1/2,z+1/2'
'x+1/2,-y+1/2,z+1/2'
loop_
_atom_site_label
_atom_site_fract_x
_atom_site_fract_y
_atom_site_fract_z
Re1 0.000 0.000 0.000
Re2 0.000 0.500 0.250
Ni1 0.000 0.000 0.489
Br1 0.000 0.500 0.740
```

---

Entry 6:
A plane-wave DFT calculation with PBE was carried out for a relaxed structure of Zr2Be15Ni2.

Magnetization ... 0.000 μB per atom
Formation energy ... -301 meV per atom

Structure (CIF):
```
data_Zr2Be15Ni2
_chemical_formula_sum 'Zr6 Be45 Ni6'
_cell_length_a 7.5870
_cell_length_b 7.5870
_cell_length_c 11.1138
_cell_angle_alpha 90.00
_cell_angle_beta 90.00
_cell_angle_gamma 120.00
_space_group_name_H-M_alt 'R -3 m'
_space_group_IT_number 166
_space_group_name_Hall '-R 3 2"'
loop_
_atom_site_label
_atom_site_fract_x
_atom_site_fract_y
_atom_site_fract_z
Zr1 0.0000 0.0000 0.1566
Be1 0.0000 0.2811 0.5000
Be2 0.0000 0.5000 0.0000
Be3 0.0013 0.5006 0.3416
Ni1 0.0000 0.0000 0.3944
```